(1)
VASP calculation (GGA-PBE) on a relaxed structure of VRhS2.

Computed properties:
Magnetization in μB/cell: 10.37
DOS at the Fermi energy in states/eV/atom: 0.60
Formation energy from raw total energies in eV/f.u.: -0.27
Total energy in eV/atom: -6.2480

abc: 3.4818 3.4818 21.6775
angles: 90.00 90.00 120.00
Space group R-3m (No. 166, hexagonal axes)
Asymmetric unit:
V1 0.0000 0.0000 0.0000 (multiplicity 3)
Rh1 0.0000 0.0000 0.5000 (multiplicity 3)
S1 0.0000 0.0000 0.1080 (multiplicity 6)

***

(2)
VASP calculation (GGA-PBE) on a relaxed structure of CaAuBr2.

Computed properties:
Magnetization in μB/cell: 0.00
DOS at the Fermi energy in states/eV/atom: 0.30
Formation energy from raw total energies in eV/f.u.: -1.66
Total energy in eV/atom: -2.5724
ΔE to the lowest computed polymorph in eV/atom: 0.580

abc: 4.2986 4.2986 25.6098
angles: 90.00 90.00 120.00
Space group R-3m (No. 166, hexagonal axes)
Asymmetric unit:
Ca1 0.0000 0.0000 0.0000 (multiplicity 3)
Au1 0.0000 0.0000 0.5000 (multiplicity 3)
Br1 0.0000 0.0000 0.1085 (multiplicity 6)

***

(3)
VASP calculation (GGA-PBE) on a relaxed structure of K5Hg2S4.

Computed properties:
Magnetization in μB/cell: 0.31
DOS at the Fermi energy in states/eV/atom: 0.31
Formation energy from raw total energies in eV/f.u.: -7.57
Total energy in eV/atom: -2.7429

abc: 25.522 4.977 7.298
angles: 90.00 91.86 90.00
Space group C2/m (No. 12)
Asymmetric unit:
K1 0.000 0.000 0.000 (multiplicity 2)
K2 0.099 0.500 0.320 (multiplicity 4)
K3 0.131 0.500 0.831 (multiplicity 4)
Hg1 0.222 0.000 0.029 (multiplicity 4)
S1 0.019 0.500 0.630 (multiplicity 4)
S2 0.123 0.000 0.079 (multiplicity 4)

***

(4)
VASP calculation (GGA-PBE) on a relaxed structure of Ho3ScPb3.

Computed properties:
Magnetization in μB/cell: 0.00
DOS at the Fermi energy in states/eV/atom: 0.33
Energy of formation in eV/f.u.: -1.57
Total energy in eV/atom: -4.6793

abc: 9.184 14.062 6.879
angles: 90.00 92.40 90.00
Space group C2/m (No. 12)
Asymmetric unit:
Ho1 0.000 0.155 0.000 (multiplicity 4)
Ho2 0.000 0.198 0.500 (multiplicity 4)
Ho3 0.068 0.500 0.768 (multiplicity 4)
Sc1 0.205 0.000 0.714 (multiplicity 4)
Pb1 0.111 0.000 0.287 (multiplicity 4)
Pb2 0.178 0.318 0.209 (multiplicity 8)

***

(5)
VASP calculation (GGA-PBE) on a relaxed structure of AcZnSnPd.

Computed properties:
Magnetization in μB/cell: 0.00
DOS at the Fermi energy in states/eV/atom: 0.46
Energy of formation in eV/f.u.: -2.16
Total energy in eV/atom: -4.1836

abc: 7.232 7.232 7.232
angles: 90.00 90.00 90.00
Space group F-43m (No. 216)
Asymmetric unit:
Ac1 0.000 0.000 0.000 (multiplicity 4)
Zn1 0.250 0.250 0.750 (multiplicity 4)
Sn1 0.000 0.000 0.500 (multiplicity 4)
Pd1 0.250 0.250 0.250 (multiplicity 4)

***

(6)
VASP calculation (GGA-PBE) on a relaxed structure of TcAgMo2.

Computed properties:
Magnetization in μB/cell: 0.00
DOS at the Fermi energy in states/eV/atom: 0.53
Energy of formation in eV/f.u.: 1.26
Total energy in eV/atom: -8.4048
ΔE to the lowest computed polymorph in eV/atom: 0.040

abc: 2.7865 2.7865 28.5108
angles: 90.00 90.00 120.00
Space group R-3m (No. 166, hexagonal axes)
Asymmetric unit:
Tc1 0.0000 0.0000 0.0000 (multiplicity 3)
Ag1 0.0000 0.0000 0.5000 (multiplicity 3)
Mo1 0.0000 0.0000 0.2553 (multiplicity 6)

***

(7)
VASP calculation (GGA-PBE) on a relaxed structure of NaPr2Zn.

Computed properties:
Magnetization in μB/cell: 0.00
DOS at the Fermi energy in states/eV/atom: 1.01
Energy of formation in eV/f.u.: 0.30
Total energy in eV/atom: -2.9626
ΔE to the lowest computed polymorph in eV/atom: 0.125

abc: 3.6189 3.6189 35.6585
angles: 90.00 90.00 120.00
Space group R-3m (No. 166, hexagonal axes)
Asymmetric unit:
Na1 0.0000 0.0000 0.0000 (multiplicity 3)
Pr1 0.0000 0.0000 0.1034 (multiplicity 6)
Zn1 0.0000 0.0000 0.5000 (multiplicity 3)

***

(8)
VASP calculation (GGA-PBE) on a relaxed structure of BeTcAu2.

Computed properties:
Magnetization in μB/cell: 1.33
DOS at the Fermi energy in states/eV/atom: 0.96
Energy of formation in eV/f.u.: 1.05
Total energy in eV/atom: -4.8992

abc: 2.8366 2.8366 25.6663
angles: 90.00 90.00 120.00
Space group R-3m (No. 166, hexagonal axes)
Asymmetric unit:
Be1 0.0000 0.0000 0.0000 (multiplicity 3)
Tc1 0.0000 0.0000 0.5000 (multiplicity 3)
Au1 0.0000 0.0000 0.2596 (multiplicity 6)

***

(9)
VASP calculation (GGA-PBE) on a relaxed structure of NaIn6Ag3.

Computed properties:
Magnetization in μB/cell: 0.00
DOS at the Fermi energy in states/eV/atom: 0.32
Energy of formation in eV/f.u.: -0.24
Total energy in eV/atom: -2.6540

abc: 8.619 4.874 11.497
angles: 90.00 99.67 90.00
Space group P2_1/m (No. 11)
Asymmetric unit:
Na1 0.047 0.250 0.295 (multiplicity 2)
In1 0.115 0.250 0.589 (multiplicity 2)
In2 0.121 0.750 0.988 (multiplicity 2)
In3 0.259 0.750 0.251 (multiplicity 2)
In4 0.329 0.750 0.754 (multiplicity 2)
In5 0.410 0.250 0.427 (multiplicity 2)
In6 0.473 0.250 0.910 (multiplicity 2)
Ag1 0.129 0.250 0.847 (multiplicity 2)
Ag2 0.239 0.750 0.498 (multiplicity 2)
Ag3 0.326 0.250 0.124 (multiplicity 2)

***

(10)
VASP calculation (GGA-PBE) on a relaxed structure of Tb6Pr2Er5.

Computed properties:
Magnetization in μB/cell: 0.00
DOS at the Fermi energy in states/eV/atom: 1.28
Energy of formation in eV/f.u.: 1.31
Total energy in eV/atom: -4.5265

abc: 11.716 20.182 3.591
angles: 90.00 90.00 90.00
Space group Pbam (No. 55)
Asymmetric unit:
Tb1 0.059 0.077 0.000 (multiplicity 4)
Tb2 0.079 0.365 0.000 (multiplicity 4)
Tb3 0.178 0.625 0.500 (multiplicity 4)
Pr1 0.166 0.784 0.000 (multiplicity 4)
Er1 0.000 0.500 0.500 (multiplicity 2)
Er2 0.095 0.221 0.500 (multiplicity 4)
Er3 0.200 0.948 0.500 (multiplicity 4)

***

(11)
VASP calculation (GGA-PBE) on a relaxed structure of KSr2BiO4.

Computed properties:
Magnetization in μB/cell: 0.00
DOS at the Fermi energy in states/eV/atom: 0.00
Formation energy from raw total energies in eV/f.u.: -15.71
Total energy in eV/atom: -5.4858

abc: 7.365 7.394 10.240
angles: 90.00 90.00 90.00
Space group Imma (No. 74)
Asymmetric unit:
K1 0.250 0.250 0.250 (multiplicity 4)
Sr1 0.000 0.000 0.000 (multiplicity 4)
Sr2 0.250 0.250 0.750 (multiplicity 4)
Bi1 0.000 0.000 0.500 (multiplicity 4)
O1 0.000 0.020 0.737 (multiplicity 8)
O2 0.245 0.250 0.506 (multiplicity 8)

***

(12)
VASP calculation (GGA-PBE) on a relaxed structure of CsNa3Tl2I6.

Computed properties:
Magnetization in μB/cell: 0.00
DOS at the Fermi energy in states/eV/atom: 0.00
Formation energy from raw total energies in eV/f.u.: -13.05
Total energy in eV/atom: -2.6580

abc: 21.592 4.844 9.954
angles: 90.00 105.41 90.00
Space group C2/m (No. 12)
Asymmetric unit:
Cs1 0.000 0.000 0.000 (multiplicity 2)
Na1 0.000 0.000 0.500 (multiplicity 2)
Na2 0.167 0.500 0.829 (multiplicity 4)
Tl1 0.169 0.500 0.334 (multiplicity 4)
I1 0.008 0.500 0.719 (multiplicity 4)
I2 0.164 0.000 0.593 (multiplicity 4)
I3 0.179 0.000 0.073 (multiplicity 4)

***

Q: Which value of total energy does entry 5 give?
A: -4.1836 eV/atom

***

Q: What is the magnetization in the ninth record?
A: 0.00 μB/cell

***

Please write out number 5 again, unchanged.
VASP calculation (GGA-PBE) on a relaxed structure of AcZnSnPd.

Computed properties:
Magnetization in μB/cell: 0.00
DOS at the Fermi energy in states/eV/atom: 0.46
Energy of formation in eV/f.u.: -2.16
Total energy in eV/atom: -4.1836

abc: 7.232 7.232 7.232
angles: 90.00 90.00 90.00
Space group F-43m (No. 216)
Asymmetric unit:
Ac1 0.000 0.000 0.000 (multiplicity 4)
Zn1 0.250 0.250 0.750 (multiplicity 4)
Sn1 0.000 0.000 0.500 (multiplicity 4)
Pd1 0.250 0.250 0.250 (multiplicity 4)

***

Please write out number 6 again, unchanged.
VASP calculation (GGA-PBE) on a relaxed structure of TcAgMo2.

Computed properties:
Magnetization in μB/cell: 0.00
DOS at the Fermi energy in states/eV/atom: 0.53
Energy of formation in eV/f.u.: 1.26
Total energy in eV/atom: -8.4048
ΔE to the lowest computed polymorph in eV/atom: 0.040

abc: 2.7865 2.7865 28.5108
angles: 90.00 90.00 120.00
Space group R-3m (No. 166, hexagonal axes)
Asymmetric unit:
Tc1 0.0000 0.0000 0.0000 (multiplicity 3)
Ag1 0.0000 0.0000 0.5000 (multiplicity 3)
Mo1 0.0000 0.0000 0.2553 (multiplicity 6)